DFT (GGA+U) results for a relaxed structure of MoH4O5.

The structure in CIF format:
```
data_MoH4O5
_space_group_name_H-M_alt 'P 1'
_space_group_IT_number 1
_cell_length_a 4.024
_cell_length_b 6.432
_cell_length_c 7.785
_cell_angle_alpha 80.93
_cell_angle_beta 89.88
_cell_angle_gamma 89.65
loop_
_space_group_symop_operation_xyz
'x,y,z'
loop_
_atom_site_label
_atom_site_type_symbol
_atom_site_fract_x
_atom_site_fract_y
_atom_site_fract_z
Mo1 Mo 0.000 0.000 0.000
Mo2 Mo 0.122 0.974 0.505
H1 H 0.057 0.427 0.490
H2 H 0.075 0.568 0.978
H3 H 0.367 0.392 0.279
H4 H 0.372 0.382 0.788
H5 H 0.548 0.568 0.662
H6 H 0.582 0.362 0.113
H7 H 0.844 0.365 0.327
H8 H 0.869 0.363 0.837
O1 O 0.050 0.316 0.929
O2 O 0.050 0.321 0.410
O3 O 0.059 0.009 0.228
O4 O 0.060 0.714 0.006
O5 O 0.069 0.022 0.727
O6 O 0.073 0.701 0.530
O7 O 0.562 0.019 0.983
O8 O 0.563 0.001 0.482
O9 O 0.573 0.421 0.715
O10 O 0.577 0.435 0.213
```

Output
excess energy over the best structure of this formula in the dataset: 0.015 eV/atom
electronic total energy: -5.72 eV/atom
crystal system: triclinic